## Tb6Nd3Sc (PBE-GGA)

Data for crystalline Tb6Nd3Sc at its relaxed geometry.

Output
The value obtained for the formation energy from the elements is 0.15 eV/atom. The calculation puts the energy above the most stable polymorph in this dataset at 0 meV per atom. Its space group is Cmc2_1 (36). The total energy comes out at -4.696 eV/atom.

a = 6.308 Å, b = 10.936 Å, c = 10.936 Å
α = 120.02°, β = 90.00°, γ = 90.00°
Sites, in units of the cell vectors:
Tb 0.051 0.378 0.289
Tb 0.369 0.535 0.954
Tb 0.869 0.465 0.046
Tb 0.639 0.276 0.724
Tb 0.551 0.622 0.711
Tb 0.869 0.954 0.535
Tb 0.551 0.289 0.378
Tb 0.896 0.044 0.956
Tb 0.369 0.046 0.465
Tb 0.396 0.956 0.044
Tb 0.139 0.724 0.276
Tb 0.051 0.711 0.622
Nd 0.457 0.945 0.717
Nd 0.457 0.283 0.055
Nd 0.957 0.055 0.283
Nd 0.571 0.614 0.386
Nd 0.071 0.386 0.614
Nd 0.957 0.717 0.945
Sc 0.625 0.800 0.200
Sc 0.125 0.200 0.800

***

## TbNd12Sc6 (PBE-GGA)

Data for crystalline TbNd12Sc6 at its relaxed geometry.

Output
The value obtained for the formation energy from the elements is 0.23 eV/atom. The calculation puts the energy above the most stable polymorph in this dataset at 0 meV per atom. Its space group is Im-3 (204). The total energy comes out at -5.022 eV/atom.

a = 9.255 Å, b = 9.255 Å, c = 9.255 Å
α = 109.47°, β = 109.47°, γ = 109.47°
Sites, in units of the cell vectors:
Sc 0.862 0.362 0.500
Sc 0.138 0.638 0.500
Sc 0.638 0.500 0.138
Sc 0.500 0.862 0.362
Sc 0.500 0.138 0.638
Sc 0.362 0.500 0.862
Nd 0.930 0.199 0.731
Nd 0.731 0.930 0.199
Nd 0.801 0.731 0.532
Nd 0.199 0.731 0.930
Nd 0.269 0.070 0.801
Nd 0.731 0.532 0.801
Nd 0.070 0.801 0.269
Nd 0.199 0.269 0.468
Nd 0.532 0.801 0.731
Nd 0.801 0.269 0.070
Nd 0.269 0.468 0.199
Nd 0.468 0.199 0.269
Tb 0.000 0.000 0.000

***

## Tb4Nd15Sc (PBE-GGA)

Data for crystalline Tb4Nd15Sc at its relaxed geometry.

Output
The value obtained for the formation energy from the elements is 0.02 eV/atom. Its space group is P4/mmm (123). The total energy comes out at -4.801 eV/atom.

a = 5.150 Å, b = 5.150 Å, c = 25.654 Å
α = 90.00°, β = 90.00°, γ = 90.00°
Sites, in units of the cell vectors:
Nd 0.000 0.500 0.097
Nd 0.500 0.000 0.298
Nd 0.500 0.000 0.500
Nd 0.000 0.500 0.903
Nd 0.500 0.500 0.803
Nd 0.500 0.500 0.399
Nd 0.500 0.000 0.702
Nd 0.000 0.500 0.702
Nd 0.000 0.500 0.298
Nd 0.500 0.500 0.197
Nd 0.500 0.000 0.097
Nd 0.000 0.500 0.500
Nd 0.500 0.500 0.000
Nd 0.500 0.500 0.601
Nd 0.500 0.000 0.903
Tb 0.000 0.000 0.399
Tb 0.000 0.000 0.601
Tb 0.000 0.000 0.198
Tb 0.000 0.000 0.802
Sc 0.000 0.000 0.000